Here is CoGeNO after structural relaxation from OQMD via LeMat-Bulk. Energies are from PBE+U.

extended XYZ file:
```
8
Lattice="4.2402 0.0000 0.0000 0.0000 4.2402 0.0000 0.0000 0.0000 4.4936" Properties=species:S:1:pos:R:3 pbc="T T T"
Co 1.0601 1.0601 0.0067
Co 3.1802 3.1802 4.4869
Ge 1.0601 3.1802 2.2468
Ge 3.1802 1.0601 2.2468
N 1.0601 1.0601 2.2483
N 3.1802 3.1802 2.2453
O 1.0601 3.1802 0.0000
O 3.1802 1.0601 0.0000
```

- volume (Å³ per cell) = 81
- energy above the lowest structure with this stoichiometry (meV/atom) = 0.0
- uncorrected energy (eV per atom) = -6.24